Material: ZrCrBr2
Method: DFT, SCAN
State: single point on PBEsol structure

Output
E above lowest polymorph: 0.000 eV/atom
Magnetic moment: 4.00 μB per formula unit
Formation energy without anion corrections: -0.6271 eV per atom

Cell and atoms, written as CIF:
```
data_ZrCrBr2
_cell_length_a 3.402
_cell_length_b 3.402
_cell_length_c 7.691
_cell_angle_alpha 90.00
_cell_angle_beta 90.00
_cell_angle_gamma 90.00
_space_group_name_H-M_alt 'P 4 m m'
_space_group_IT_number 99
_space_group_name_Hall 'P 4 -2'
loop_
_atom_site_label
_atom_site_type_symbol
_atom_site_fract_x
_atom_site_fract_y
_atom_site_fract_z
_atom_site_occupancy
Zr1 Zr 0.000 0.000 0.000 1
Cr1 Cr 0.500 0.500 0.795 1
Br1 Br 0.000 0.000 0.628 1
Br2 Br 0.500 0.500 0.225 1
```

***

Material: BeTlRu2
Method: DFT, SCAN
State: single point on PBEsol structure

Output
E above lowest polymorph: 0.081 eV/atom
Formation energy from the elements: 32.3 kJ/mol of atoms
Magnetic moment: 0.00 μB per formula unit

Cell and atoms, written as CIF:
```
data_BeTlRu2
_cell_length_a 2.863
_cell_length_b 3.730
_cell_length_c 5.471
_cell_angle_alpha 90.00
_cell_angle_beta 101.95
_cell_angle_gamma 90.00
_space_group_name_H-M_alt 'P 1 2/m 1'
_space_group_IT_number 10
_space_group_name_Hall '-P 2y'
loop_
_atom_site_label
_atom_site_type_symbol
_atom_site_fract_x
_atom_site_fract_y
_atom_site_fract_z
_atom_site_occupancy
Be1 Be 0.000 0.000 0.000 1
Tl1 Tl 0.000 0.000 0.500 1
Ru1 Ru 0.356 0.500 0.203 1
```

***

Material: CaLa3
Method: DFT, SCAN
State: single point on PBEsol structure

Output
Formation energy from the elements: 4.6 kJ/mol of atoms
Magnetic moment: 0.03 μB per formula unit

Cell and atoms, written as CIF:
```
data_CaLa3
_cell_length_a 3.6804
_cell_length_b 3.6804
_cell_length_c 12.2221
_cell_angle_alpha 90.00
_cell_angle_beta 90.00
_cell_angle_gamma 120.00
_space_group_name_H-M_alt 'P -6 m 2'
_space_group_IT_number 187
_space_group_name_Hall 'P -6 2'
loop_
_atom_site_label
_atom_site_type_symbol
_atom_site_fract_x
_atom_site_fract_y
_atom_site_fract_z
_atom_site_occupancy
Ca1 Ca 0.0000 0.0000 0.0000 1
La1 La 0.0000 0.0000 0.5000 1
La2 La 0.3333 0.6667 0.2595 1
```

***

Material: Rb5Li6B11O22
Method: DFT, SCAN
State: single point on PBEsol structure

Output
Magnetic moment: 0.00 μB per formula unit
Formation energy without anion corrections: -2.5422 eV per atom

Cell and atoms, written as CIF:
```
data_Rb5Li6B11O22
_cell_length_a 11.638
_cell_length_b 7.140
_cell_length_c 13.696
_cell_angle_alpha 90.00
_cell_angle_beta 107.21
_cell_angle_gamma 90.00
_space_group_name_H-M_alt 'C 1 2 1'
_space_group_IT_number 5
_space_group_name_Hall 'C 2y'
loop_
_atom_site_label
_atom_site_type_symbol
_atom_site_fract_x
_atom_site_fract_y
_atom_site_fract_z
_atom_site_occupancy
Rb1 Rb 0.000 0.000 0.000 1
Rb2 Rb 0.184 0.857 0.787 1
Rb3 Rb 0.200 0.672 0.412 1
Li1 Li 0.079 0.476 0.594 1
Li2 Li 0.209 0.695 0.046 1
Li3 Li 0.224 0.327 0.768 1
B1 B 0.000 0.853 0.500 1
B2 B 0.006 0.146 0.409 1
B3 B 0.011 0.288 0.766 1
B4 B 0.049 0.589 0.164 1
B5 B 0.146 0.446 0.926 1
B6 B 0.159 0.093 0.316 1
O1 O 0.000 0.254 0.500 1
O2 O 0.000 0.664 0.500 1
O3 O 0.047 0.957 0.590 1
O4 O 0.054 0.470 0.246 1
O5 O 0.062 0.253 0.682 1
O6 O 0.064 0.595 0.914 1
O7 O 0.073 0.142 0.224 1
O8 O 0.117 0.294 0.860 1
O9 O 0.131 0.122 0.407 1
O10 O 0.142 0.693 0.158 1
O11 O 0.234 0.521 0.683 1
O12 O 0.249 0.950 0.000 1
```